This record from Alexandria via LeMat-Bulk describes Ti12GaGe6 after structural relaxation. The functional is PBE.

Structure (POSCAR):
```
Ti12GaGe6
1.0
5.9298 3.4236 2.7249
-5.9298 3.4236 2.7249
0.0000 -6.8472 2.7249
Ti Ga Ge
12 1 6
direct
0.0596 0.1833 0.4749
0.1689 0.5937 0.4540
0.1833 0.4749 0.0596
0.4063 0.5460 0.8311
0.4540 0.1689 0.5937
0.4749 0.0596 0.1833
0.5251 0.9404 0.8167
0.5459 0.8311 0.4063
0.5937 0.4540 0.1689
0.8167 0.5251 0.9404
0.8311 0.4063 0.5460
0.9404 0.8167 0.5251
0.5000 0.5000 0.5000
0.1511 0.7327 0.8418
0.1582 0.8489 0.2673
0.2673 0.1582 0.8489
0.7327 0.8418 0.1511
0.8418 0.1511 0.7327
0.8489 0.2673 0.1582
```

Computed properties:
ΔE_f (kJ/mol of atoms): -26.4
Space-group type: No. 148


This record from Alexandria via LeMat-Bulk describes Ti2GaGe2 after structural relaxation. The functional is PBE.

Structure (POSCAR):
```
Ti2GaGe2
1.0
-1.7953 1.7953 6.7653
1.7953 -1.7953 6.7653
1.7953 1.7953 -6.7653
Ti Ga Ge
2 1 2
direct
0.1006 0.1006 0.0000
0.8994 0.8994 0.0000
0.5000 0.5000 0.0000
0.2500 0.7500 0.5000
0.7500 0.2500 0.5000
```

Computed properties:
Polymorph energy (0 for the lowest one) (kJ per mole of atoms): 15.73
ΔE_f (kJ/mol of atoms): -17.1
Space-group type: No. 139


This record from Alexandria via LeMat-Bulk describes Ti12Ga5Ge2 after structural relaxation. The functional is PBE.

Structure (POSCAR):
```
Ti12Ga5Ge2
1.0
6.8504 -3.0139 0.0000
6.8504 3.0139 0.0000
-0.2099 0.0000 8.2937
Ti Ga Ge
12 5 2
direct
0.0224 0.0224 0.3194
0.0852 0.6259 0.4431
0.0916 0.5521 0.8876
0.3741 0.9148 0.5569
0.4056 0.4056 0.1795
0.4479 0.9084 0.1124
0.5521 0.0916 0.8876
0.5944 0.5944 0.8205
0.6259 0.0852 0.4431
0.9084 0.4479 0.1124
0.9148 0.3741 0.5569
0.9776 0.9776 0.6806
0.1571 0.1571 0.8323
0.2231 0.2231 0.3337
0.5000 0.5000 0.5000
0.7769 0.7769 0.6663
0.8429 0.8429 0.1677
0.2127 0.7873 0.0000
0.7873 0.2127 0.0000
```

Computed properties:
ΔE_f (kJ/mol of atoms): -8.4
Space-group type: No. 12


This record from Alexandria via LeMat-Bulk describes Ti2GaGe2 after structural relaxation. The functional is PBE.

Structure (POSCAR):
```
Ti2GaGe2
1.0
6.7641 0.0000 0.0000
0.0000 6.7641 0.0000
0.0000 0.0000 3.6038
Ti Ga Ge
4 2 4
direct
0.1596 0.3404 0.0000
0.3404 0.8404 0.0000
0.6596 0.1596 0.0000
0.8404 0.6596 0.0000
0.0000 0.0000 0.5000
0.5000 0.5000 0.5000
0.1396 0.6396 0.5000
0.3604 0.1396 0.5000
0.6396 0.8604 0.5000
0.8604 0.3604 0.5000
```

Computed properties:
Polymorph energy (0 for the lowest one) (kJ per mole of atoms): 3.37
ΔE_f (kJ/mol of atoms): -29.5
Space-group type: No. 127


This record from Alexandria via LeMat-Bulk describes TiZnGaGe2 after structural relaxation. The functional is PBE.

Structure (POSCAR):
```
TiZnGaGe2
1.0
4.8531 0.0000 0.0000
0.0000 4.8531 0.0000
0.0000 0.0000 4.5882
Ti Zn Ga Ge
1 1 1 2
direct
0.0000 0.0000 0.0000
0.5000 0.5000 0.0000
0.5000 0.5000 0.5000
0.0000 0.5000 0.5000
0.5000 0.0000 0.5000
```

Computed properties:
ΔE_f (kJ/mol of atoms): 78.7
Space-group type: No. 123


This record from Alexandria via LeMat-Bulk describes Tl2GaGe2 after structural relaxation. The functional is PBE.

Structure (POSCAR):
```
Tl2GaGe2
1.0
-2.3610 2.3610 6.1701
2.3610 -2.3610 6.1701
2.3610 2.3610 -6.1701
Tl Ga Ge
2 1 2
direct
0.2500 0.7500 0.5000
0.7500 0.2500 0.5000
0.0000 0.0000 0.0000
0.4009 0.4009 0.0000
0.5991 0.5991 0.0000
```

Computed properties:
Polymorph energy (0 for the lowest one) (kJ per mole of atoms): 19.09
ΔE_f (kJ/mol of atoms): 33.2
Space-group type: No. 139


This record from Alexandria via LeMat-Bulk describes Tl2Ga2Ge after structural relaxation. The functional is PBE.

Structure (POSCAR):
```
Tl2Ga2Ge
1.0
6.8022 0.0000 0.0000
0.0000 6.8022 0.0000
0.0000 0.0000 5.3863
Tl Ga Ge
4 4 2
direct
0.1792 0.3208 0.0000
0.3208 0.8208 0.0000
0.6792 0.1792 0.0000
0.8208 0.6792 0.0000
0.1360 0.6360 0.5000
0.3640 0.1360 0.5000
0.6360 0.8640 0.5000
0.8640 0.3640 0.5000
0.0000 0.0000 0.5000
0.5000 0.5000 0.5000
```

Computed properties:
Polymorph energy (0 for the lowest one) (kJ per mole of atoms): 0.00
ΔE_f (kJ/mol of atoms): 10.0
Space-group type: No. 127


This record from Alexandria via LeMat-Bulk describes Tl2GaGe2 after structural relaxation. The functional is PBE.

Structure (POSCAR):
```
Tl2GaGe2
1.0
6.8657 0.0000 0.0000
0.0000 6.8657 0.0000
0.0000 0.0000 5.2620
Tl Ga Ge
4 2 4
direct
0.1801 0.3199 0.0000
0.3199 0.8199 0.0000
0.6801 0.1801 0.0000
0.8199 0.6801 0.0000
0.0000 0.0000 0.5000
0.5000 0.5000 0.5000
0.1323 0.6323 0.5000
0.3677 0.1323 0.5000
0.6323 0.8677 0.5000
0.8677 0.3677 0.5000
```

Computed properties:
Polymorph energy (0 for the lowest one) (kJ per mole of atoms): 0.00
ΔE_f (kJ/mol of atoms): 14.1
Space-group type: No. 127


This record from Alexandria via LeMat-Bulk describes TlGaGe after structural relaxation. The functional is PBE.

Structure (POSCAR):
```
TlGaGe
1.0
4.8463 0.0000 0.0000
-2.4232 4.1970 0.0000
0.0000 0.0000 3.4320
Tl Ga Ge
1 1 1
direct
0.0000 0.0000 0.0000
0.3333 0.6667 0.4956
0.6667 0.3333 0.5032
```

Computed properties:
Polymorph energy (0 for the lowest one) (kJ per mole of atoms): 2.67
ΔE_f (kJ/mol of atoms): 16.8
Space-group type: No. 156


This record from Alexandria via LeMat-Bulk describes TlGa3Ge after structural relaxation. The functional is PBE.

Structure (POSCAR):
```
TlGa3Ge
1.0
5.0982 0.0000 0.0000
0.0000 5.0982 0.0000
0.0000 0.0000 5.0982
Tl Ga Ge
1 3 1
direct
0.0000 0.0000 0.0000
0.0000 0.5000 0.5000
0.5000 0.0000 0.5000
0.5000 0.5000 0.0000
0.5000 0.5000 0.5000
```

Computed properties:
Polymorph energy (0 for the lowest one) (kJ per mole of atoms): 0.00
ΔE_f (kJ/mol of atoms): 31.6
Space-group type: No. 221


This record from Alexandria via LeMat-Bulk describes Tl3GaGe after structural relaxation. The functional is PBE.

Structure (POSCAR):
```
Tl3GaGe
1.0
5.5758 0.0000 0.0000
0.0000 5.5758 0.0000
0.0000 0.0000 5.5758
Tl Ga Ge
3 1 1
direct
0.0000 0.0000 0.5000
0.0000 0.5000 0.0000
0.5000 0.0000 0.0000
0.5000 0.5000 0.5000
0.0000 0.0000 0.0000
```

Computed properties:
Polymorph energy (0 for the lowest one) (kJ per mole of atoms): 0.00
ΔE_f (kJ/mol of atoms): 42.0
Space-group type: No. 221


This record from Alexandria via LeMat-Bulk describes TlGa4Ge after structural relaxation. The functional is PBE.

Structure (POSCAR):
```
TlGa4Ge
1.0
0.0000 4.0029 4.0029
4.0029 0.0000 4.0029
4.0029 4.0029 0.0000
Tl Ga Ge
1 4 1
direct
0.0000 0.0000 0.0000
0.1265 0.6245 0.6245
0.6245 0.1265 0.6245
0.6245 0.6245 0.1265
0.6245 0.6245 0.6245
0.2500 0.2500 0.2500
```

Computed properties:
ΔE_f (kJ/mol of atoms): 15.0
Space-group type: No. 216


This record from Alexandria via LeMat-Bulk describes TlGa2Ge2 after structural relaxation. The functional is PBE.

Structure (POSCAR):
```
TlGa2Ge2
1.0
-2.3330 2.3330 5.1523
2.3330 -2.3330 5.1523
2.3330 2.3330 -5.1523
Tl Ga Ge
1 2 2
direct
0.0000 0.0000 0.0000
0.2500 0.7500 0.5000
0.7500 0.2500 0.5000
0.3764 0.3764 0.0000
0.6236 0.6236 0.0000
```

Computed properties:
Polymorph energy (0 for the lowest one) (kJ per mole of atoms): 0.00
ΔE_f (kJ/mol of atoms): 5.2
Space-group type: No. 139


This record from Alexandria via LeMat-Bulk describes Tl3GaGe after structural relaxation. The functional is PBE.

Structure (POSCAR):
```
Tl3GaGe
1.0
5.4216 0.0000 0.0000
0.0000 5.4216 0.0000
0.0000 0.0000 5.4216
Tl Ga Ge
3 1 1
direct
0.0000 0.0000 0.5000
0.0000 0.5000 0.0000
0.5000 0.0000 0.0000
0.0000 0.0000 0.0000
0.5000 0.5000 0.5000
```

Computed properties:
Polymorph energy (0 for the lowest one) (kJ per mole of atoms): 5.88
ΔE_f (kJ/mol of atoms): 47.8
Space-group type: No. 221


This record from Alexandria via LeMat-Bulk describes TlGa2Ge2 after structural relaxation. The functional is PBE.

Structure (POSCAR):
```
TlGa2Ge2
1.0
8.2356 0.0000 0.0000
0.0000 8.2356 0.0000
0.0000 0.0000 3.1630
Tl Ga Ge
2 4 4
direct
0.0000 0.0000 0.0000
0.5000 0.5000 0.0000
0.1476 0.3524 0.5000
0.3524 0.8524 0.5000
0.6476 0.1476 0.5000
0.8524 0.6476 0.5000
0.1435 0.6435 0.0000
0.3565 0.1435 0.0000
0.6435 0.8565 0.0000
0.8565 0.3565 0.0000
```

Computed properties:
Polymorph energy (0 for the lowest one) (kJ per mole of atoms): 9.82
ΔE_f (kJ/mol of atoms): 15.0
Space-group type: No. 127


This record from Alexandria via LeMat-Bulk describes TlGa3Ge after structural relaxation. The functional is PBE.

Structure (POSCAR):
```
TlGa3Ge
1.0
5.3227 0.0000 0.0000
0.0000 5.3227 0.0000
0.0000 0.0000 5.3227
Tl Ga Ge
1 3 1
direct
0.0000 0.0000 0.0000
0.0000 0.0000 0.5000
0.0000 0.5000 0.0000
0.5000 0.0000 0.0000
0.5000 0.5000 0.5000
```

Computed properties:
Polymorph energy (0 for the lowest one) (kJ per mole of atoms): 45.56
ΔE_f (kJ/mol of atoms): 77.2
Space-group type: No. 221


This record from Alexandria via LeMat-Bulk describes TlGa2Ge2 after structural relaxation. The functional is PBE.

Structure (POSCAR):
```
TlGa2Ge2
1.0
8.3566 0.0000 0.0000
0.0000 8.3566 0.0000
0.0000 0.0000 3.0919
Tl Ga Ge
2 4 4
direct
0.0000 0.0000 0.0000
0.5000 0.5000 0.0000
0.1506 0.3494 0.0000
0.3494 0.8494 0.0000
0.6506 0.1506 0.0000
0.8494 0.6506 0.0000
0.1377 0.6377 0.5000
0.3623 0.1377 0.5000
0.6377 0.8623 0.5000
0.8623 0.3623 0.5000
```

Computed properties:
Polymorph energy (0 for the lowest one) (kJ per mole of atoms): 9.53
ΔE_f (kJ/mol of atoms): 14.7
Space-group type: No. 127


This record from Alexandria via LeMat-Bulk describes TlGaGe after structural relaxation. The functional is PBE.

Structure (POSCAR):
```
TlGaGe
1.0
0.0000 3.3881 3.3881
3.3881 0.0000 3.3881
3.3881 3.3881 0.0000
Tl Ga Ge
1 1 1
direct
0.0000 0.0000 0.0000
0.5000 0.5000 0.5000
0.7500 0.7500 0.7500
```

Computed properties:
Polymorph energy (0 for the lowest one) (kJ per mole of atoms): 5.21
ΔE_f (kJ/mol of atoms): 19.3
Space-group type: No. 216


This record from Alexandria via LeMat-Bulk describes Tl2Ga2Ge after structural relaxation. The functional is PBE.

Structure (POSCAR):
```
Tl2Ga2Ge
1.0
8.4330 0.0000 0.0000
0.0000 8.4330 0.0000
0.0000 0.0000 3.5414
Tl Ga Ge
4 4 2
direct
0.1816 0.3184 0.0000
0.3184 0.8184 0.0000
0.6816 0.1816 0.0000
0.8184 0.6816 0.0000
0.1185 0.6185 0.5000
0.3815 0.1185 0.5000
0.6185 0.8815 0.5000
0.8815 0.3815 0.5000
0.0000 0.0000 0.0000
0.5000 0.5000 0.0000
```

Computed properties:
Polymorph energy (0 for the lowest one) (kJ per mole of atoms): 18.41
ΔE_f (kJ/mol of atoms): 28.4
Space-group type: No. 127


This record from Alexandria via LeMat-Bulk describes TlGaGe after structural relaxation. The functional is PBE.

Structure (POSCAR):
```
TlGaGe
1.0
-1.6876 1.6876 6.2067
1.6876 -1.6876 6.2067
1.6876 1.6876 -6.2067
Tl Ga Ge
1 1 1
direct
0.0000 0.0000 0.0000
0.6905 0.6905 0.0000
0.3089 0.3089 0.0000
```

Computed properties:
Polymorph energy (0 for the lowest one) (kJ per mole of atoms): 1.74
ΔE_f (kJ/mol of atoms): 15.9
Space-group type: No. 107